An optimized crystal structure of Ca2Ni, computed with PBE-GGA.

Summary:
Energy of formation from the pure elements, eV/atom: -0.01

Unit cell a=6.580 b=6.661 c=4.068 alpha=90.00 beta=90.00 gamma=90.00
Space group Pnnm (No. 58)
Asymmetric unit:
1 Ca 0.240 0.167 0.000
2 Ni 0.000 0.000 0.500